Computed, not measured: crystalline Zn3Hg at its relaxed geometry at the PBE level of DFT.

The space group is Cmcm (No. 63) and the conventional cell measures 5.414, 10.721 and 4.947 Å, with angles of 90.00, 90.00 and 90.00 degrees. The inequivalent atoms are Zn at (0.000, 0.105, 0.250), Zn at (0.247, 0.123, 0.750) and Hg at (0.000, 0.365, 0.750).

The calculation puts the calculated formation energy at 0.085 eV per atom. The theoretical density is 9.2 g cm⁻³. The value obtained for the volume is 287.1 Å³/cell. Its crystal system is orthorhombic. The calculation puts the total moment at 0.0 μB per formula unit.



Computed, not measured: crystalline Zr2ZnHg at its relaxed geometry at the PBE level of DFT.

The space group is I4/mmm (No. 139) and the conventional cell measures 4.405, 4.405 and 8.328 Å, with angles of 90.00, 90.00 and 90.00 degrees. The inequivalent atoms are Zr at (0.000, 0.500, 0.250), Zn at (0.000, 0.000, 0.000) and Hg at (0.000, 0.000, 0.500).

The calculation puts the calculated formation energy at -0.196 eV per atom. The theoretical density is 9.2 g cm⁻³. The value obtained for the volume is 161.6 Å³/cell. Its crystal system is tetragonal. The calculation puts the total moment at 0.0 μB per formula unit. The calculation puts the offset from the most stable computed form at 0.015 eV/atom.